Computed, not measured: a relaxed PuSc2Ga6 crystal at the PBE level of DFT.

Cell lengths 4.2082, 6.9576, 12.6068 Å; angles 90.00, 90.00, 90.00 degrees
Closest atoms and distances in Å follow each position.
Space group Immm (No. 71)
Unique sites:
Pu  0.0000  0.0000  0.0000 (multiplicity 2)  4 Ga 3.06
Sc  0.0000  0.5000  0.1206 (multiplicity 4)  6 Ga 2.75-2.89, 1 Sc 3.04
Ga  0.0000  0.1813  0.5000 (multiplicity 4)  3 Ga 2.52-2.54
Ga  0.0000  0.3047  0.3101 (multiplicity 8)  4 Ga 2.54-2.72, 1 Sc 2.75

energy above the lowest structure with this stoichiometry	0.090	eV/atom
formation energy from the elements	-399.3	meV per atom
spin magnetization	0.645	μB per atom
volume	369	Å³/cell